[1]
A relaxed structure of NaCa2SiIr, computed with PBE.

Results
- N(E_F): 0.517 states/eV/atom
- Formation energy (no corrections): -141 kJ/mol of formula units

Unit cell a=5.6137 b=5.6137 c=4.6113 alpha=90.00 beta=90.00 gamma=90.00
Atoms (fractional coordinates):
Na  0.0000  0.0000  0.0000
Ca  0.0000  0.5000  0.5000
Ca  0.5000  0.0000  0.5000
Si  0.5000  0.5000  0.0000
Ir  0.5000  0.5000  0.5000

=====

[2]
A relaxed structure of Tc3BiO, computed with PBE.

Results
- N(E_F): 1.409 states/eV/atom
- E above lowest polymorph: 0.0 meV per atom
- Formation energy (no corrections): 176 kJ/mol of formula units

Unit cell a=4.2192 b=4.2192 c=4.2192 alpha=90.00 beta=90.00 gamma=90.00
Atoms (fractional coordinates):
Tc  0.0000  0.0000  0.5000
Tc  0.0000  0.5000  0.0000
Tc  0.5000  0.0000  0.0000
Bi  0.5000  0.5000  0.5000
O  0.0000  0.0000  0.0000

=====

[3]
A relaxed structure of LiCa2Mg, computed with PBE.

Results
- Formation enthalpy at 0 K: 0.088 eV per atom
- N(E_F): 1.137 states/eV/atom

Unit cell a=11.0436 b=11.0436 c=11.0436 alpha=19.72 beta=19.72 gamma=19.72
Atoms (fractional coordinates):
Li  0.0000  0.0000  0.0000
Ca  0.2479  0.2479  0.2479
Ca  0.7521  0.7521  0.7521
Mg  0.5000  0.5000  0.5000

=====

[4]
A relaxed structure of Y2TlInMo, computed with PBE.

Results
- Formation enthalpy at 0 K: 0.796 eV per atom
- N(E_F): 0.456 states/eV/atom

Unit cell a=5.6431 b=5.6431 c=5.0946 alpha=90.00 beta=90.00 gamma=90.00
Atoms (fractional coordinates):
Y  0.0000  0.5000  0.0000
Y  0.5000  0.0000  0.0000
Tl  0.0000  0.0000  0.5000
In  0.5000  0.5000  0.0000
Mo  0.5000  0.5000  0.5000

=====

[5]
A relaxed structure of Ca2Sc2Cu, computed with PBE.

Results
- Formation enthalpy at 0 K: 0.210 eV per atom
- N(E_F): 1.290 states/eV/atom

Unit cell a=7.0420 b=7.0420 c=5.6901 alpha=90.00 beta=90.00 gamma=90.00
Atoms (fractional coordinates):
Ca  0.1736  0.3264  0.0000
Ca  0.3264  0.8264  0.0000
Ca  0.6736  0.1736  0.0000
Ca  0.8264  0.6736  0.0000
Sc  0.1550  0.6550  0.5000
Sc  0.3450  0.1550  0.5000
Sc  0.6550  0.8450  0.5000
Sc  0.8450  0.3450  0.5000
Cu  0.0000  0.0000  0.5000
Cu  0.5000  0.5000  0.5000

=====

[6]
A relaxed structure of Li2TiReN4, computed with PBE.

Results
- N(E_F): 0.368 states/eV/atom
- Formation energy (no corrections): -496 kJ/mol of formula units

Unit cell a=5.1457 b=2.9460 c=5.3720 alpha=90.00 beta=108.41 gamma=90.00
Atoms (fractional coordinates):
Li  0.0000  0.0000  0.0000
Li  0.5000  0.5000  0.0000
Ti  0.0000  0.5000  0.5000
Re  0.5000  0.0000  0.5000
N  0.2468  0.0000  0.7198
N  0.2617  0.5000  0.2724
N  0.7383  0.5000  0.7276
N  0.7532  0.0000  0.2802

=====

[7]
A relaxed structure of Li2PrSn2, computed with PBE.

Results
- Formation enthalpy at 0 K: -0.525 eV per atom
- N(E_F): 0.473 states/eV/atom
- E above lowest polymorph: 23.9 meV per atom

Unit cell a=4.5669 b=4.5669 c=10.9074 alpha=90.00 beta=90.00 gamma=90.00
Atoms (fractional coordinates):
Li  0.2500  0.2500  0.1375
Li  0.2500  0.7500  0.5000
Li  0.7500  0.2500  0.5000
Li  0.7500  0.7500  0.8625
Pr  0.2500  0.2500  0.7450
Pr  0.7500  0.7500  0.2550
Sn  0.2500  0.2500  0.3724
Sn  0.2500  0.7500  0.0000
Sn  0.7500  0.2500  0.0000
Sn  0.7500  0.7500  0.6276

=====

[8]
A relaxed structure of MgSIO2, computed with PBE.

Results
- N(E_F): 0.913 states/eV/atom
- Formation energy (no corrections): -108 kJ/mol of formula units

Unit cell a=3.9166 b=3.9166 c=7.7351 alpha=90.00 beta=90.00 gamma=90.00
Atoms (fractional coordinates):
Mg  0.0000  0.0000  0.0000
S  0.5000  0.5000  0.5000
I  0.0000  0.0000  0.5000
O  0.0000  0.5000  0.0000
O  0.5000  0.0000  0.0000

=====

[9]
A relaxed structure of ZrU4As5, computed with PBE.

Results
- Formation enthalpy at 0 K: -0.805 eV per atom
- N(E_F): 2.347 states/eV/atom

Unit cell a=10.8237 b=10.8237 c=10.8237 alpha=158.77 beta=149.40 gamma=37.54
Atoms (fractional coordinates):
Zr  0.0000  0.0000  0.0000
U  0.1968  0.1968  0.0000
U  0.4008  0.4008  0.0000
U  0.5992  0.5992  0.0000
U  0.8032  0.8032  0.0000
As  0.0949  0.5949  0.5000
As  0.2990  0.7990  0.5000
As  0.5000  0.0000  0.5000
As  0.7010  0.2010  0.5000
As  0.9051  0.4051  0.5000

=====

[10]
A relaxed structure of BaScTa2, computed with PBE.

Results
- Formation enthalpy at 0 K: 0.810 eV per atom
- N(E_F): 1.509 states/eV/atom
- E above lowest polymorph: 378.6 meV per atom

Unit cell a=11.4438 b=11.4438 c=11.4438 alpha=15.68 beta=15.68 gamma=15.68
Atoms (fractional coordinates):
Ba  0.0000  0.0000  0.0000
Sc  0.5000  0.5000  0.5000
Ta  0.2396  0.2396  0.2396
Ta  0.7604  0.7604  0.7604

=====

[11]
A relaxed structure of LiLa2I, computed with PBE.

Results
- N(E_F): 1.379 states/eV/atom
- E above lowest polymorph: 103.0 meV per atom
- Formation energy (no corrections): -66 kJ/mol of formula units

Unit cell a=7.1184 b=7.1184 c=7.1184 alpha=102.99 beta=102.99 gamma=123.41
Atoms (fractional coordinates):
Li  0.0000  0.0000  0.0000
Li  0.7500  0.2500  0.5000
La  0.1361  0.1250  0.5111
La  0.3750  0.8639  0.9889
La  0.6139  0.6250  0.4889
La  0.8750  0.3861  0.0111
I  0.2500  0.7500  0.5000
I  0.5000  0.5000  0.0000